Entry 1:
VASP calculation (GGA-PBEsol) on a geometry-optimized ZnIrPt2 structure.

Results
The total magnetization comes out at 0.000 μB/f.u. As for the density of states at the Fermi level: 3.055 states/eV/cell. Its formation energy is -0.24 eV/atom. As for the crystal system: orthorhombic.

Cell lengths 2.7324, 4.6869, 4.6869 Å; angles 107.90, 90.00, 90.00 degrees
Positions (direct):
Ir (0.5000, 0.5000, 0.5000)
Pt (0.0000, 0.0000, 0.5000)
Zn (0.5000, 0.0000, 0.0000)
Pt (0.0000, 0.5000, 0.0000)

---

Entry 2:
VASP calculation (GGA-PBEsol) on a geometry-optimized Zn2IrPt structure.

Results
The total magnetization comes out at 0.000 μB/f.u. As for the density of states at the Fermi level: 2.076 states/eV/cell. Its formation energy is -0.25 eV/atom. As for the crystal system: monoclinic.

Cell lengths 2.7839, 4.4730, 4.8093 Å; angles 111.07, 90.00, 90.00 degrees
Positions (direct):
Pt (0.0000, 0.5000, 0.5000)
Ir (0.5000, 0.5000, 0.0000)
Zn (0.0000, 0.0000, 0.0000)
Zn (0.5000, 0.0000, 0.5000)

---

Entry 3:
VASP calculation (GGA-PBEsol) on a geometry-optimized ZrIrPt2 structure.

Results
The total magnetization comes out at 0.000 μB/f.u. As for the density of states at the Fermi level: 5.230 states/eV/cell. Its formation energy is -0.49 eV/atom. As for the crystal system: cubic.

Cell lengths 4.5056, 4.5056, 4.5056 Å; angles 60.00, 60.00, 60.00 degrees
Positions (direct):
Pt (0.0000, 0.0000, 0.0000)
Pt (0.2500, 0.2500, 0.2500)
Ir (0.5000, 0.5000, 0.5000)
Zr (0.7500, 0.7500, 0.7500)

---

Entry 4:
VASP calculation (GGA-PBEsol) on a geometry-optimized ZrIr2Pt structure.

Results
The total magnetization comes out at 0.364 μB/f.u. As for the density of states at the Fermi level: 7.867 states/eV/cell. Its formation energy is -0.25 eV/atom. As for the crystal system: cubic.

Cell lengths 4.4922, 4.4922, 4.4922 Å; angles 60.00, 60.00, 60.00 degrees
Last column: magnetic moment on the atom in μB.
Positions (direct):
Pt (0.5000, 0.5000, 0.5000)  0.01
Zr (0.2500, 0.2500, 0.2500)  0.00
Ir (0.7500, 0.7500, 0.7500)  0.16
Ir (0.0000, 0.0000, 0.0000)  0.18

---

Entry 5:
VASP calculation (GGA-PBEsol) on a geometry-optimized Pu5Ir3 structure.

Results
The total magnetization comes out at 25.983 μB/f.u. As for the density of states at the Fermi level: 55.209 states/eV/cell. Its formation energy is -0.08 eV/atom. As for the crystal system: tetragonal.

Cell lengths 5.5110, 8.1696, 8.1696 Å; angles 83.47, 70.29, 70.29 degrees
Last column: magnetic moment on the atom in μB.
Positions (direct):
Ir (0.3384, 0.5000, 0.8232)  -0.16
Ir (0.1616, 0.1768, 0.5000)  -0.16
Pu (0.2500, 0.5000, 0.5000)  5.14
Pu (0.7500, 0.5000, 0.5000)  5.14
Pu (0.5846, 0.1361, 0.6947)  5.08
Ir (0.2500, 0.0000, 0.0000)  -0.21
Ir (0.6616, 0.5000, 0.1768)  -0.16
Ir (0.8384, 0.8232, 0.5000)  -0.16
Pu (0.7207, 0.6947, 0.8639)  5.08
Pu (0.9154, 0.3053, 0.8639)  5.08
Pu (0.7793, 0.1361, 0.3053)  5.08
Pu (0.4154, 0.8639, 0.3053)  5.08
Pu (0.2207, 0.8639, 0.6947)  5.08
Ir (0.7500, 0.0000, 0.0000)  -0.21
Pu (0.2793, 0.3053, 0.1361)  5.08
Pu (0.0846, 0.6947, 0.1361)  5.08

---

Entry 6:
VASP calculation (GGA-PBEsol) on a geometry-optimized PuSn2Ir structure.

Results
The total magnetization comes out at 5.407 μB/f.u. As for the density of states at the Fermi level: 21.374 states/eV/cell. Its formation energy is -0.29 eV/atom. As for the crystal system: orthorhombic.

Cell lengths 4.3289, 5.7224, 7.4475 Å; angles 90.00, 90.00, 112.22 degrees
Last column: magnetic moment on the atom in μB.
Positions (direct):
Sn (0.6400, 0.2800, 0.9542)  0.00
Ir (0.7899, 0.5799, 0.2500)  -0.08
Sn (0.3600, 0.7200, 0.4542)  0.00
Sn (0.3600, 0.7200, 0.0458)  0.00
Pu (0.9328, 0.8656, 0.7500)  5.21
Pu (0.0672, 0.1344, 0.2500)  5.21
Sn (0.6400, 0.2800, 0.5458)  0.00
Ir (0.2101, 0.4201, 0.7500)  -0.08

---

Entry 7:
VASP calculation (GGA-PBEsol) on a geometry-optimized Rb2ReIr structure.

Results
The total magnetization comes out at 4.709 μB/f.u. As for the density of states at the Fermi level: 4.515 states/eV/cell. Its formation energy is 2.58 eV/atom. As for the crystal system: cubic.

Cell lengths 5.3478, 5.3478, 5.3478 Å; angles 60.00, 60.00, 60.00 degrees
Last column: magnetic moment on the atom in μB.
Positions (direct):
Re (0.0000, 0.0000, 0.0000)  3.31
Ir (0.5000, 0.5000, 0.5000)  0.56
Rb (0.2500, 0.2500, 0.2500)  0.04
Rb (0.7500, 0.7500, 0.7500)  0.04

---

Entry 8:
VASP calculation (GGA-PBEsol) on a geometry-optimized RbIrRuW2 structure.

Results
The total magnetization comes out at 2.301 μB/f.u. As for the density of states at the Fermi level: 8.459 states/eV/cell. Its formation energy is 2.75 eV/atom. As for the crystal system: tetragonal.

Cell lengths 4.7187, 4.7187, 5.5538 Å; angles 90.00, 90.00, 90.00 degrees
Last column: magnetic moment on the atom in μB.
Positions (direct):
Ru (0.5000, 0.5000, 0.5000)  2.00
Rb (0.0000, 0.0000, 0.5000)  0.01
W (0.5000, 0.0000, 0.0000)  0.06
W (0.0000, 0.5000, 0.0000)  0.06
Ir (0.0000, 0.0000, 0.0000)  -0.02

---

Entry 9:
VASP calculation (GGA-PBEsol) on a geometry-optimized RbSb3Ir structure.

Results
The total magnetization comes out at 0.001 μB/f.u. As for the density of states at the Fermi level: 3.869 states/eV/cell. As for the crystal system: cubic. The formation energy without anion corrections comes out at 2530 meV per atom.

Cell lengths 5.5395, 5.5395, 5.5395 Å; angles 90.00, 90.00, 90.00 degrees
Positions (direct):
Sb (0.5000, 0.0000, 0.0000)
Ir (0.5000, 0.5000, 0.5000)
Sb (0.0000, 0.0000, 0.5000)
Rb (0.0000, 0.0000, 0.0000)
Sb (0.0000, 0.5000, 0.0000)

---

Entry 10:
VASP calculation (GGA-PBEsol) on a geometry-optimized RbSb2TeIr structure.

Results
The total magnetization comes out at 0.000 μB/f.u. As for the density of states at the Fermi level: 1.595 states/eV/cell. As for the crystal system: tetragonal. The formation energy without anion corrections comes out at 92 meV per atom.

Cell lengths 5.0687, 5.0687, 5.9613 Å; angles 90.00, 90.00, 90.00 degrees
Positions (direct):
Te (0.0000, 0.0000, 0.5000)
Ir (0.0000, 0.0000, 0.0000)
Sb (0.0000, 0.5000, 0.0000)
Rb (0.5000, 0.5000, 0.5000)
Sb (0.5000, 0.0000, 0.0000)

---

Entry 11:
VASP calculation (GGA-PBEsol) on a geometry-optimized RbSrScIr2 structure.

Results
The total magnetization comes out at 0.000 μB/f.u. As for the density of states at the Fermi level: 5.247 states/eV/cell. Its formation energy is 1.76 eV/atom. As for the crystal system: tetragonal.

Cell lengths 4.7663, 5.0132, 5.0132 Å; angles 90.00, 90.00, 90.00 degrees
Positions (direct):
Sr (0.5000, 0.5000, 0.5000)
Ir (0.0000, 0.0000, 0.5000)
Sc (0.5000, 0.0000, 0.0000)
Ir (0.0000, 0.5000, 0.0000)
Rb (0.0000, 0.0000, 0.0000)

---

Entry 12:
VASP calculation (GGA-PBEsol) on a geometry-optimized RbIr2Se2 structure.

Results
The total magnetization comes out at 0.000 μB/f.u. As for the density of states at the Fermi level: 2.470 states/eV/cell. As for the crystal system: tetragonal. The formation energy without anion corrections comes out at -158 meV per atom.

Cell lengths 3.9848, 3.9848, 7.4167 Å; angles 105.58, 105.58, 90.00 degrees
Positions (direct):
Rb (0.0000, 0.0000, 0.0000)
Se (0.6424, 0.6424, 0.2848)
Ir (0.2500, 0.7500, 0.5000)
Ir (0.7500, 0.2500, 0.5000)
Se (0.3576, 0.3576, 0.7152)